# RbNa2P3H6O12

RbNa2P3H6O12 after structural relaxation (PBEsol, Alexandria via LeMat-Bulk).

Unit cell a=7.562 b=8.681 c=9.690 alpha=65.32 beta=85.10 gamma=78.17
Fractional positions:
O  0.161  0.773  0.732
O  0.664  0.252  0.041
O  0.978  0.237  0.596
H  0.892  0.623  0.396
H  0.332  0.743  0.596
H  0.668  0.257  0.404
Rb  0.745  0.851  0.619
O  0.088  0.993  0.850
H  0.506  0.603  0.623
H  0.158  0.564  0.536
O  0.181  0.485  0.094
O  0.444  0.715  0.544
Rb  0.255  0.149  0.381
O  0.660  0.807  0.045
O  0.595  0.431  0.770
P  0.922  0.138  0.758
O  0.382  0.977  0.703
O  0.244  0.939  0.213
Na  0.463  0.231  0.705
H  0.494  0.397  0.377
O  0.819  0.515  0.906
O  0.340  0.193  0.955
O  0.022  0.763  0.404
H  0.296  0.096  0.041
O  0.811  0.553  0.381
O  0.556  0.285  0.456
O  0.618  0.023  0.297
H  0.448  0.206  0.996
O  0.336  0.748  0.959
O  0.405  0.569  0.230
H  0.842  0.436  0.464
O  0.914  0.259  0.848
O  0.912  0.007  0.150
P  0.259  0.618  0.117
O  0.839  0.227  0.268
P  0.756  0.125  0.206
H  0.108  0.377  0.604
P  0.741  0.382  0.883
Na  0.851  0.532  0.141
Na  0.537  0.769  0.295
P  0.078  0.862  0.242
H  0.552  0.794  0.004
P  0.244  0.875  0.794
Na  0.149  0.468  0.859
O  0.086  0.741  0.152
H  0.704  0.904  0.959
O  0.189  0.447  0.619
O  0.756  0.061  0.787

Total moment, μB/atom: 0.004
Total DFT energy (no corrections), eV per atom: -6.126
Symmetry: P-1 (2)



# FeSeBr2

FeSeBr2 after structural relaxation (PBEsol, Alexandria via LeMat-Bulk).

Unit cell a=3.157 b=3.427 c=9.479 alpha=90.00 beta=90.00 gamma=117.43
Fractional positions:
Br  0.000  0.000  0.315
Br  0.000  0.000  0.685
Fe  0.500  0.000  0.500
Se  0.500  0.000  0.000

Total moment, μB/atom: 0.680
Formation energy (no corrections), eV/f.u.: 1.19
E above lowest polymorph, kJ/mol of formula units: 165.0
Symmetry: Cmmm (65)



# RbCd2Bi2

RbCd2Bi2 after structural relaxation (PBEsol, Alexandria via LeMat-Bulk).

Unit cell a=4.687 b=4.687 c=8.004 alpha=107.03 beta=107.03 gamma=90.00
Fractional positions:
Rb  0.000  0.000  0.000
Cd  0.250  0.750  0.500
Bi  0.622  0.622  0.244
Cd  0.750  0.250  0.500
Bi  0.378  0.378  0.756

Total moment, μB/atom: 0.000
Total DFT energy (no corrections), eV per atom: -2.580
Symmetry: I4/mmm (139)



# Ru3CN

Ru3CN after structural relaxation (PBEsol, Alexandria via LeMat-Bulk).

Unit cell a=3.899 b=3.899 c=3.899 alpha=90.00 beta=90.00 gamma=90.00
Fractional positions:
C  0.500  0.500  0.500
Ru  0.000  0.500  0.000
Ru  0.500  0.000  0.000
N  0.000  0.000  0.000
Ru  0.000  0.000  0.500

Total moment, μB/atom: 0.000
Formation energy (no corrections), eV/f.u.: 6.81
Symmetry: Pm-3m (221)



# Zr2Sc

Zr2Sc after structural relaxation (PBEsol, Alexandria via LeMat-Bulk).

Unit cell a=3.172 b=8.560 c=8.560 alpha=120.00 beta=90.00 gamma=90.00
Fractional positions:
Sc  0.000  0.333  0.667
Zr  0.000  0.000  0.310
Zr  0.500  0.000  0.644
Sc  0.500  0.000  0.000
Zr  0.000  0.690  0.690
Zr  0.000  0.310  0.000
Sc  0.000  0.667  0.333
Zr  0.500  0.356  0.356
Zr  0.500  0.644  0.000

Total moment, μB/atom: 0.000
Total DFT energy (no corrections), eV per atom: -8.250
Symmetry: P-62m (189)



# LaCuReBr2

LaCuReBr2 after structural relaxation (PBEsol, Alexandria via LeMat-Bulk).

Unit cell a=4.731 b=4.731 c=5.683 alpha=90.00 beta=90.00 gamma=90.00
Fractional positions:
Br  0.000  0.500  0.000
La  0.000  0.000  0.500
Re  0.500  0.500  0.500
Cu  0.000  0.000  0.000
Br  0.500  0.000  0.000

Total moment, μB/atom: 0.685
Formation energy (no corrections), eV/f.u.: 4.34
Symmetry: P4/mmm (123)